This record from Alexandria describes Sr2LaTlPd after structural relaxation. The functional is PBE.

Properties
density of states at the Fermi level	0.97	states/eV/atom
theoretical density	5.3	Mg/m³

Cell lengths 5.9018, 5.9018, 5.5904 Å; angles 90.00, 90.00, 90.00 degrees
Positions (direct):
1 Sr 0.0000 0.5000 0.0000
2 La 0.0000 0.0000 0.5000
3 Tl 0.5000 0.5000 0.5000
4 Sr 0.5000 0.0000 0.0000
5 Pd 0.0000 0.0000 0.0000

***

This record from Alexandria describes SrLaTlPd after structural relaxation. The functional is PBE.

Properties
density of states at the Fermi level	1.01	states/eV/atom
theoretical density	7.7	Mg/m³

Cell lengths 5.4733, 5.4733, 5.4733 Å; angles 60.00, 60.00, 60.00 degrees
Positions (direct):
1 Pd 0.5000 0.5000 0.5000
2 La 0.7500 0.7500 0.7500
3 Tl 0.0000 0.0000 0.0000
4 Sr 0.2500 0.2500 0.2500

***

no.,formation enthalpy at 0 K (eV/atom)
1,-0.28
2,-0.45